(1)
The following is a DFT calculation (PBE) of a relaxed CdP2Ir crystal.

The structure belongs to space group Immm (No. 71); the cell edges are 2.873, 4.855 and 10.404 Å and the angles 90.00°, 90.00° and 90.00°. The distinct sites, in fractional coordinates, are Cd at (0.000, 0.000, 0.000), P at (0.000, 0.500, 0.188) and Ir at (0.000, 0.000, 0.500).

For the formation energy, the calculation gives 14.0 kJ per mole of atoms. The value obtained for the density of states at the Fermi level is 4.818 states/eV per cell.

=====

(2)
The following is a DFT calculation (PBE) of a relaxed Pr7Dy2Tm2 crystal.

The structure belongs to space group C2/m (No. 12); the cell edges are 8.651, 11.027 and 8.288 Å and the angles 90.00°, 103.57° and 90.00°. The distinct sites, in fractional coordinates, are Pr at (0.000, 0.000, 0.000), Pr at (0.197, 0.288, 0.171), Pr at (0.200, 0.000, 0.485), Dy at (0.084, 0.500, 0.820) and Tm at (0.000, 0.287, 0.500).

For the formation energy, the calculation gives 12.1 kJ per mole of atoms. Its energy above the most stable polymorph in this dataset is 0.000 eV per atom. The value obtained for the density of states at the Fermi level is 32.474 states/eV per cell.

=====

(3)
The following is a DFT calculation (PBE) of a relaxed TiZnS2 crystal.

The structure belongs to space group Fm-3m (No. 225); the cell edges are 6.260, 6.260 and 6.260 Å and the angles 90.00°, 90.00° and 90.00°. The distinct sites, in fractional coordinates, are Ti at (0.000, 0.000, 0.000), Zn at (0.000, 0.000, 0.500) and S at (0.250, 0.250, 0.250).

Its energy above the most stable polymorph in this dataset is 0.478 eV per atom. The value obtained for the density of states at the Fermi level is 10.340 states/eV per cell.

=====

(4)
The following is a DFT calculation (PBE) of a relaxed Mn3ZnPd crystal.

The structure belongs to space group Pm-3m (No. 221); the cell edges are 4.844, 4.844 and 4.844 Å and the angles 90.00°, 90.00° and 90.00°. The distinct sites, in fractional coordinates, are Mn at (0.000, 0.000, 0.500), Zn at (0.500, 0.500, 0.500) and Pd at (0.000, 0.000, 0.000).

For the formation energy, the calculation gives 87.5 kJ per mole of atoms. Its energy above the most stable polymorph in this dataset is 0.000 eV per atom. The value obtained for the density of states at the Fermi level is 2.782 states/eV per cell.

=====

(5)
The following is a DFT calculation (PBE) of a relaxed Zn5Cl crystal.

The structure belongs to space group Amm2 (No. 38); the cell edges are 5.071, 2.858 and 14.621 Å and the angles 90.00°, 90.00° and 90.00°. The distinct sites, in fractional coordinates, are Zn at (0.000, 0.000, 0.000), Zn at (0.000, 0.000, 0.328), Zn at (0.000, 0.000, 0.666), Zn at (0.500, 0.000, 0.124), Zn at (0.500, 0.000, 0.475) and Cl at (0.500, 0.000, 0.827).

Its energy above the most stable polymorph in this dataset is 0.087 eV per atom. The value obtained for the density of states at the Fermi level is 4.161 states/eV per cell.

=====

(6)
The following is a DFT calculation (PBE) of a relaxed RbTi2TlZn crystal.

The structure belongs to space group P4/mmm (No. 123); the cell edges are 5.040, 5.040 and 5.389 Å and the angles 90.00°, 90.00° and 90.00°. The distinct sites, in fractional coordinates, are Rb at (0.000, 0.000, 0.000), Ti at (0.000, 0.500, 0.000), Tl at (0.500, 0.500, 0.500) and Zn at (0.000, 0.000, 0.500).

For the formation energy, the calculation gives 182.7 kJ per mole of atoms. The value obtained for the density of states at the Fermi level is 5.543 states/eV per cell.

=====

(7)
The following is a DFT calculation (PBE) of a relaxed Al2InWBr crystal.

The structure belongs to space group P4/mmm (No. 123); the cell edges are 5.148, 5.148 and 4.670 Å and the angles 90.00°, 90.00° and 90.00°. The distinct sites, in fractional coordinates, are Al at (0.000, 0.500, 0.000), In at (0.000, 0.000, 0.500), W at (0.500, 0.500, 0.500) and Br at (0.500, 0.500, 0.000).

The value obtained for the density of states at the Fermi level is 3.247 states/eV per cell.

=====

(8)
The following is a DFT calculation (PBE) of a relaxed CaRe crystal.

The structure belongs to space group Fm-3m (No. 225); the cell edges are 6.000, 6.000 and 6.000 Å and the angles 90.00°, 90.00° and 90.00°. The distinct sites, in fractional coordinates, are Ca at (0.000, 0.000, 0.000) and Re at (0.000, 0.000, 0.500).

For the formation energy, the calculation gives 215.0 kJ per mole of atoms. Its energy above the most stable polymorph in this dataset is 1.925 eV per atom. The value obtained for the density of states at the Fermi level is 14.080 states/eV per cell.

=====

The records above yield electronic total energy values of -5.00, -4.57, -4.75, -5.89, -1.31, -2.19, -3.49, -5.00 eV/atom, respectively.